A plane-wave DFT calculation with PBE was carried out for a relaxed NbPt2Rh4 crystal.

For the density of states at the Fermi level, the calculation gives 9.269 states/eV/f.u. Its symmetry is P1, No. 1. The formation energy is -0.31 eV/atom. As for the crystal system: triclinic.

a b c (Å): 5.306 6.572 7.126
angles (deg): 64.91 70.91 75.86
Atoms (fractional coordinates):
Nb 0.000 0.000 0.000
Nb 0.190 0.763 0.551
Pt 0.051 0.190 0.265
Pt 0.332 0.337 0.832
Pt 0.428 0.715 0.866
Pt 0.579 0.288 0.145
Rh 0.143 0.576 0.295
Rh 0.288 0.140 0.577
Rh 0.483 0.903 0.123
Rh 0.617 0.480 0.413
Rh 0.716 0.861 0.429
Rh 0.773 0.054 0.687
Rh 0.862 0.432 0.714
Rh 0.907 0.630 0.979